Entry from the Alexandria database: BaSr2MgCl8 after structural relaxation (PBE).

Cell lengths 6.664, 6.569, 8.816 Å; angles 90.00, 90.00, 89.28 degrees
Atoms (fractional coordinates):
Cl1 0.833 0.208 0.209
Cl2 0.646 0.715 0.500
Cl3 0.833 0.208 0.791
Cl4 0.354 0.285 0.500
Cl5 0.167 0.792 0.209
Cl6 0.167 0.792 0.791
Cl7 0.299 0.261 0.000
Cl8 0.701 0.739 0.000
Sr1 0.500 0.500 0.233
Sr2 0.500 0.500 0.767
Ba1 0.000 0.000 0.500
Mg1 0.000 0.000 0.000

Output
As for the formation energy without anion corrections: -52.69 kcal/mol of atoms. The space-group type is P2/m (10). For the density of states at the Fermi level, the calculation gives 0.00 states/eV per cell.

=====

Entry from the Alexandria database: Sb2TeIrOs after structural relaxation (PBE).

Cell lengths 5.001, 5.192, 5.001 Å; angles 90.00, 90.00, 90.00 degrees
Atoms (fractional coordinates):
Os1 0.000 0.000 0.000
Te1 0.000 0.500 0.000
Ir1 0.500 0.500 0.500
Sb1 0.500 0.000 0.000
Sb2 0.000 0.000 0.500

Output
As for the formation energy without anion corrections: 28.58 kcal/mol of atoms. The space-group type is P4/mmm (123). For the density of states at the Fermi level, the calculation gives 4.83 states/eV per cell. For the distance to the lowest polymorph of the same formula, the calculation gives 0.000 eV/atom.

=====

Entry from the Alexandria database: K2ZnCoAu after structural relaxation (PBE).

Cell lengths 6.102, 6.102, 4.851 Å; angles 90.00, 90.00, 90.00 degrees
Last column: magnetic moment on the atom in μB.
Atoms (fractional coordinates):
K1 0.500 0.000 0.000  -0.01
K2 0.000 0.500 0.000  -0.01
Co1 0.000 0.000 0.000  1.79
Zn1 0.500 0.500 0.500  -0.02
Au1 0.000 0.000 0.500  0.08

Output
The space-group type is P4/mmm (123). For the density of states at the Fermi level, the calculation gives 5.21 states/eV per cell. The value obtained for the formation energy is 540 meV per atom.

=====

Entry from the Alexandria database: YTmCuPd after structural relaxation (PBE).

Cell lengths 3.698, 4.511, 5.541 Å; angles 90.00, 109.49, 90.00 degrees
Atoms (fractional coordinates):
Pd1 0.420 0.000 0.840
Y1 0.140 0.000 0.279
Cu1 0.578 0.500 0.156
Tm1 0.862 0.500 0.724

Output
The space-group type is Amm2 (38). For the density of states at the Fermi level, the calculation gives 2.24 states/eV per cell. For the distance to the lowest polymorph of the same formula, the calculation gives 0.000 eV/atom. The value obtained for the formation energy is -614 meV per atom.

=====

Entry from the Alexandria database: Y4HgRh3 after structural relaxation (PBE).

Cell lengths 4.929, 7.126, 9.856 Å; angles 90.00, 90.00, 90.00 degrees
Atoms (fractional coordinates):
Y1 0.000 0.761 0.250
Y2 0.500 0.761 0.000
Y3 0.500 0.239 0.000
Y4 0.500 0.239 0.500
Y5 0.000 0.761 0.750
Y6 0.000 0.239 0.250
Y7 0.000 0.239 0.750
Y8 0.500 0.761 0.500
Rh1 0.500 0.000 0.750
Rh2 0.500 0.000 0.250
Rh3 0.501 0.500 0.750
Rh4 0.499 0.500 0.250
Rh5 0.000 0.000 0.500
Rh6 0.000 0.000 0.000
Hg1 0.000 0.500 0.000
Hg2 0.000 0.500 0.500

Output
The space-group type is P4/mmm (123). For the density of states at the Fermi level, the calculation gives 16.10 states/eV per cell. The value obtained for the formation energy is -717 meV per atom.

=====

Entry from the Alexandria database: MgTlTc2 after structural relaxation (PBE).

Cell lengths 9.455, 9.455, 9.455 Å; angles 17.98, 17.98, 17.98 degrees
Last column: magnetic moment on the atom in μB.
Atoms (fractional coordinates):
Tc1 0.001 0.001 0.001  0.35
Tc2 0.499 0.499 0.499  0.35
Mg1 0.750 0.750 0.750  0.00
Tl1 0.250 0.250 0.250  0.00

Output
The space-group type is R-3m (166). For the density of states at the Fermi level, the calculation gives 4.04 states/eV per cell. For the distance to the lowest polymorph of the same formula, the calculation gives 0.490 eV/atom. The value obtained for the formation energy is 655 meV per atom.